No. 1
## Ba3Ca (GGA-PBEsol)

Data for a relaxed structure of Ba3Ca.

Structure (CIF):
```
data_Ba3Ca
_space_group_name_H-M_alt 'P -6 m 2'
_space_group_IT_number 187
_space_group_name_Hall 'P -6 2'
_cell_length_a 4.2149
_cell_length_b 4.2149
_cell_length_c 13.8479
_cell_angle_alpha 90.00
_cell_angle_beta 90.00
_cell_angle_gamma 120.00
loop_
_atom_site_label
_atom_site_type_symbol
_atom_site_fract_x
_atom_site_fract_y
_atom_site_fract_z
Ba1 Ba 0.0000 0.0000 0.0000
Ba2 Ba 0.6667 0.3333 0.2588
Ca1 Ca 0.0000 0.0000 0.5000
```



No. 2
## Ba5Ca (GGA-PBEsol)

Data for a relaxed structure of Ba5Ca.

Structure (CIF):
```
data_Ba5Ca
_space_group_name_H-M_alt 'P 4/m m m'
_space_group_IT_number 123
_space_group_name_Hall '-P 4 2'
_cell_length_a 4.8449
_cell_length_b 4.8449
_cell_length_c 14.1196
_cell_angle_alpha 90.00
_cell_angle_beta 90.00
_cell_angle_gamma 90.00
loop_
_atom_site_label
_atom_site_type_symbol
_atom_site_fract_x
_atom_site_fract_y
_atom_site_fract_z
Ba1 Ba 0.0000 0.0000 0.0000
Ba2 Ba 0.0000 0.0000 0.3471
Ba3 Ba 0.5000 0.5000 0.1731
Ca1 Ca 0.5000 0.5000 0.5000
```



No. 3
## BaCa2 (GGA-PBEsol)

Data for a relaxed structure of BaCa2.

Structure (CIF):
```
data_BaCa2
_space_group_name_H-M_alt 'C 1 2/m 1'
_space_group_IT_number 12
_space_group_name_Hall '-C 2y'
_cell_length_a 15.1147
_cell_length_b 4.0284
_cell_length_c 9.4532
_cell_angle_alpha 90.00
_cell_angle_beta 105.34
_cell_angle_gamma 90.00
loop_
_atom_site_label
_atom_site_type_symbol
_atom_site_fract_x
_atom_site_fract_y
_atom_site_fract_z
Ba1 Ba 0.0282 0.0000 0.2991
Ca1 Ca 0.1477 0.5000 0.0296
Ca2 Ca 0.2006 0.5000 0.6439
```



No. 4
## Ba5Ca (GGA-PBEsol)

Data for a relaxed structure of Ba5Ca.

Structure (CIF):
```
data_Ba5Ca
_space_group_name_H-M_alt 'P -6 2 m'
_space_group_IT_number 189
_space_group_name_Hall 'P -6 -2'
_cell_length_a 7.3761
_cell_length_b 7.3761
_cell_length_c 6.9627
_cell_angle_alpha 90.00
_cell_angle_beta 90.00
_cell_angle_gamma 120.00
loop_
_atom_site_label
_atom_site_type_symbol
_atom_site_fract_x
_atom_site_fract_y
_atom_site_fract_z
Ba1 Ba 0.0000 0.3291 0.0000
Ba2 Ba 0.3333 0.6667 0.5000
Ca1 Ca 0.0000 0.0000 0.5000
```



No. 5
## BaCa2 (GGA-PBEsol)

Data for a relaxed structure of BaCa2.

Structure (CIF):
```
data_BaCa2
_space_group_name_H-M_alt 'I m m m'
_space_group_IT_number 71
_space_group_name_Hall '-I 2 2'
_cell_length_a 4.0750
_cell_length_b 5.5761
_cell_length_c 12.2103
_cell_angle_alpha 90.00
_cell_angle_beta 90.00
_cell_angle_gamma 90.00
loop_
_atom_site_label
_atom_site_type_symbol
_atom_site_fract_x
_atom_site_fract_y
_atom_site_fract_z
Ba1 Ba 0.0000 0.0000 0.0000
Ca1 Ca 0.0000 0.0000 0.3277
```



No. 6
## Ba2Ca (GGA-PBEsol)

Data for a relaxed structure of Ba2Ca.

Structure (CIF):
```
data_Ba2Ca
_space_group_name_H-M_alt 'C 1 m 1'
_space_group_IT_number 8
_space_group_name_Hall 'C -2y'
_cell_length_a 15.5377
_cell_length_b 4.1783
_cell_length_c 9.9001
_cell_angle_alpha 90.00
_cell_angle_beta 105.81
_cell_angle_gamma 90.00
loop_
_atom_site_label
_atom_site_type_symbol
_atom_site_fract_x
_atom_site_fract_y
_atom_site_fract_z
Ba1 Ba 0.0000 0.0000 0.0000
Ba2 Ba 0.0528 0.0000 0.6032
Ba3 Ba 0.1687 0.5000 0.3254
Ba4 Ba 0.3296 0.0000 0.6648
Ca1 Ca 0.2239 0.5000 0.9459
Ca2 Ca 0.3826 0.0000 0.2634
```



No. 7
## BaCa2 (GGA-PBEsol)

Data for a relaxed structure of BaCa2.

Structure (CIF):
```
data_BaCa2
_space_group_name_H-M_alt 'P 63/m m c'
_space_group_IT_number 194
_space_group_name_Hall '-P 6c 2c'
_cell_length_a 6.4759
_cell_length_b 6.4759
_cell_length_c 7.5634
_cell_angle_alpha 90.00
_cell_angle_beta 90.00
_cell_angle_gamma 120.00
loop_
_atom_site_label
_atom_site_type_symbol
_atom_site_fract_x
_atom_site_fract_y
_atom_site_fract_z
Ba1 Ba 0.3333 0.6667 0.2500
Ca1 Ca 0.0000 0.0000 0.0000
Ca2 Ca 0.3333 0.6667 0.7500
```



No. 8
## BaCa (GGA-PBEsol)

Data for a relaxed structure of BaCa.

Structure (CIF):
```
data_BaCa
_space_group_name_H-M_alt 'P m m a'
_space_group_IT_number 51
_space_group_name_Hall '-P 2a 2a'
_cell_length_a 6.7405
_cell_length_b 4.0955
_cell_length_c 7.1283
_cell_angle_alpha 90.00
_cell_angle_beta 90.00
_cell_angle_gamma 90.00
loop_
_atom_site_label
_atom_site_type_symbol
_atom_site_fract_x
_atom_site_fract_y
_atom_site_fract_z
Ba1 Ba 0.2500 0.0000 0.1721
Ca1 Ca 0.2500 0.5000 0.6641
```



No. 9
## BaCa (GGA-PBEsol)

Data for a relaxed structure of BaCa.

Structure (CIF):
```
data_BaCa
_space_group_name_H-M_alt 'C 1 m 1'
_space_group_IT_number 8
_space_group_name_Hall 'C -2y'
_cell_length_a 15.6253
_cell_length_b 4.1832
_cell_length_c 9.9486
_cell_angle_alpha 90.00
_cell_angle_beta 105.44
_cell_angle_gamma 90.00
loop_
_atom_site_label
_atom_site_type_symbol
_atom_site_fract_x
_atom_site_fract_y
_atom_site_fract_z
Ba1 Ba 0.0000 0.0000 0.0000
Ba2 Ba 0.0575 0.0000 0.6158
Ba3 Ba 0.1768 0.5000 0.3370
Ca1 Ca 0.2325 0.5000 0.9496
Ca2 Ca 0.3337 0.0000 0.6721
Ca3 Ca 0.3898 0.0000 0.2766
```



No. 10
## Ba3Ca (GGA-PBEsol)

Data for a relaxed structure of Ba3Ca.

Structure (CIF):
```
data_Ba3Ca
_space_group_name_H-M_alt 'I m m 2'
_space_group_IT_number 44
_space_group_name_Hall 'I 2 -2'
_cell_length_a 4.2049
_cell_length_b 13.8396
_cell_length_c 7.3153
_cell_angle_alpha 90.00
_cell_angle_beta 90.00
_cell_angle_gamma 90.00
loop_
_atom_site_label
_atom_site_type_symbol
_atom_site_fract_x
_atom_site_fract_y
_atom_site_fract_z
Ba1 Ba 0.0000 0.0000 0.0000
Ba2 Ba 0.0000 0.2470 0.6661
Ca1 Ca 0.0000 0.5000 0.9998
```



No. 11
## Ba4Ca5 (GGA-PBEsol)

Data for a relaxed structure of Ba4Ca5.

Structure (CIF):
```
data_Ba4Ca5
_space_group_name_H-M_alt 'I 4/m m m'
_space_group_IT_number 139
_space_group_name_Hall '-I 4 2'
_cell_length_a 13.3591
_cell_length_b 13.3591
_cell_length_c 4.8032
_cell_angle_alpha 90.00
_cell_angle_beta 90.00
_cell_angle_gamma 90.00
loop_
_atom_site_label
_atom_site_type_symbol
_atom_site_fract_x
_atom_site_fract_y
_atom_site_fract_z
Ba1 Ba 0.0000 0.3255 0.0000
Ca1 Ca 0.0000 0.0000 0.0000
Ca2 Ca 0.1657 0.1657 0.5000
```



No. 12
## BaCa3 (GGA-PBEsol)

Data for a relaxed structure of BaCa3.

Structure (CIF):
```
data_BaCa3
_space_group_name_H-M_alt 'P -6 m 2'
_space_group_IT_number 187
_space_group_name_Hall 'P -6 2'
_cell_length_a 3.9631
_cell_length_b 3.9631
_cell_length_c 13.0240
_cell_angle_alpha 90.00
_cell_angle_beta 90.00
_cell_angle_gamma 120.00
loop_
_atom_site_label
_atom_site_type_symbol
_atom_site_fract_x
_atom_site_fract_y
_atom_site_fract_z
Ba1 Ba 0.0000 0.0000 0.0000
Ca1 Ca 0.0000 0.0000 0.5000
Ca2 Ca 0.3333 0.6667 0.2601
```



No. 13
## BaCa2 (GGA-PBEsol)

Data for a relaxed structure of BaCa2.

Structure (CIF):
```
data_BaCa2
_space_group_name_H-M_alt 'P 6/m m m'
_space_group_IT_number 191
_space_group_name_Hall '-P 6 2'
_cell_length_a 6.4515
_cell_length_b 6.4515
_cell_length_c 3.8683
_cell_angle_alpha 90.00
_cell_angle_beta 90.00
_cell_angle_gamma 120.00
loop_
_atom_site_label
_atom_site_type_symbol
_atom_site_fract_x
_atom_site_fract_y
_atom_site_fract_z
Ba1 Ba 0.0000 0.0000 0.0000
Ca1 Ca 0.3333 0.6667 0.5000
```



No. 14
## Ba5Ca (GGA-PBEsol)

Data for a relaxed structure of Ba5Ca.

Structure (CIF):
```
data_Ba5Ca
_space_group_name_H-M_alt 'A m m 2'
_space_group_IT_number 38
_space_group_name_Hall 'A 2 -2'
_cell_length_a 6.9611
_cell_length_b 4.2647
_cell_length_c 22.1118
_cell_angle_alpha 90.00
_cell_angle_beta 90.00
_cell_angle_gamma 90.00
loop_
_atom_site_label
_atom_site_type_symbol
_atom_site_fract_x
_atom_site_fract_y
_atom_site_fract_z
Ba1 Ba 0.0000 0.0000 0.0000
Ba2 Ba 0.0000 0.0000 0.3239
Ba3 Ba 0.5000 0.0000 0.2150
Ba4 Ba 0.5000 0.0000 0.5521
Ba5 Ba 0.5000 0.0000 0.8849
Ca1 Ca 0.0000 0.0000 0.6621
```



No. 15
## BaCa3 (GGA-PBEsol)

Data for a relaxed structure of BaCa3.

Structure (CIF):
```
data_BaCa3
_space_group_name_H-M_alt 'F m -3 m'
_space_group_IT_number 225
_space_group_name_Hall '-F 4 2 3'
_cell_length_a 8.8944
_cell_length_b 8.8944
_cell_length_c 8.8944
_cell_angle_alpha 90.00
_cell_angle_beta 90.00
_cell_angle_gamma 90.00
loop_
_atom_site_label
_atom_site_type_symbol
_atom_site_fract_x
_atom_site_fract_y
_atom_site_fract_z
Ba1 Ba 0.0000 0.0000 0.0000
Ca1 Ca 0.0000 0.0000 0.5000
Ca2 Ca 0.2500 0.2500 0.2500
```



No. 16
## Ba2Ca (GGA-PBEsol)

Data for a relaxed structure of Ba2Ca.

Structure (CIF):
```
data_Ba2Ca
_space_group_name_H-M_alt 'I 4/m m m'
_space_group_IT_number 139
_space_group_name_Hall '-I 4 2'
_cell_length_a 4.7047
_cell_length_b 4.7047
_cell_length_c 14.1050
_cell_angle_alpha 90.00
_cell_angle_beta 90.00
_cell_angle_gamma 90.00
loop_
_atom_site_label
_atom_site_type_symbol
_atom_site_fract_x
_atom_site_fract_y
_atom_site_fract_z
Ba1 Ba 0.0000 0.0000 0.1578
Ca1 Ca 0.0000 0.0000 0.5000
```



No. 17
## Ba3Ca (GGA-PBEsol)

Data for a relaxed structure of Ba3Ca.

Structure (CIF):
```
data_Ba3Ca
_space_group_name_H-M_alt 'P 63/m m c'
_space_group_IT_number 194
_space_group_name_Hall '-P 6c 2c'
_cell_length_a 8.4518
_cell_length_b 8.4518
_cell_length_c 6.9532
_cell_angle_alpha 90.00
_cell_angle_beta 90.00
_cell_angle_gamma 120.00
loop_
_atom_site_label
_atom_site_type_symbol
_atom_site_fract_x
_atom_site_fract_y
_atom_site_fract_z
Ba1 Ba 0.1681 0.3362 0.2500
Ca1 Ca 0.3333 0.6667 0.7500
```



No. 18
## BaCa4 (GGA-PBEsol)

Data for a relaxed structure of BaCa4.

Structure (CIF):
```
data_BaCa4
_space_group_name_H-M_alt 'I 4/m'
_space_group_IT_number 87
_space_group_name_Hall '-I 4'
_cell_length_a 9.0083
_cell_length_b 9.0083
_cell_length_c 5.6528
_cell_angle_alpha 90.00
_cell_angle_beta 90.00
_cell_angle_gamma 90.00
loop_
_atom_site_label
_atom_site_type_symbol
_atom_site_fract_x
_atom_site_fract_y
_atom_site_fract_z
Ba1 Ba 0.0000 0.0000 0.0000
Ca1 Ca 0.0973 0.3043 0.5000
```



No. 19
## BaCa (GGA-PBEsol)

Data for a relaxed structure of BaCa.

Structure (CIF):
```
data_BaCa
_space_group_name_H-M_alt 'R -3 m'
_space_group_IT_number 166
_space_group_name_Hall '-R 3 2"'
_cell_length_a 4.0690
_cell_length_b 4.0690
_cell_length_c 20.2618
_cell_angle_alpha 90.00
_cell_angle_beta 90.00
_cell_angle_gamma 120.00
loop_
_atom_site_label
_atom_site_type_symbol
_atom_site_fract_x
_atom_site_fract_y
_atom_site_fract_z
Ba1 Ba 0.0000 0.0000 0.0000
Ca1 Ca 0.0000 0.0000 0.5000
```



No. 20
## BaCa2 (GGA-PBEsol)

Data for a relaxed structure of BaCa2.

Structure (CIF):
```
data_BaCa2
_space_group_name_H-M_alt 'C 1 m 1'
_space_group_IT_number 8
_space_group_name_Hall 'C -2y'
_cell_length_a 14.9768
_cell_length_b 3.9844
_cell_length_c 9.5482
_cell_angle_alpha 90.00
_cell_angle_beta 105.59
_cell_angle_gamma 90.00
loop_
_atom_site_label
_atom_site_type_symbol
_atom_site_fract_x
_atom_site_fract_y
_atom_site_fract_z
Ba1 Ba 0.0000 0.0000 0.0000
Ba2 Ba 0.1719 0.5000 0.3442
Ca1 Ca 0.0543 0.0000 0.6190
Ca2 Ca 0.2281 0.5000 0.9428
Ca3 Ca 0.3356 0.0000 0.6709
Ca4 Ca 0.3924 0.0000 0.2883
```



no.,formation energy (eV/atom)
1,0.039
2,0.013
3,0.030
4,0.019
5,0.026
6,0.036
7,0.071
8,0.026
9,0.046
10,0.032
11,0.036
12,0.036
13,0.053
14,0.021
15,0.019
16,0.026
17,0.029
18,0.026
19,0.043
20,0.043